1.
# In3NiBi (PBE, optimized geometry)
data_In3NiBi
_space_group_name_H-M_alt 'P m -3 m'
_space_group_IT_number 221
_space_group_name_Hall '-P 4 2 3'
_cell_length_a 5.885
_cell_length_b 5.885
_cell_length_c 5.885
_cell_angle_alpha 90.00
_cell_angle_beta 90.00
_cell_angle_gamma 90.00
loop_
_atom_site_label
_atom_site_type_symbol
_atom_site_fract_x
_atom_site_fract_y
_atom_site_fract_z
_atom_site_occupancy
In1 In 0.000 0.000 0.500 1
Ni1 Ni 0.500 0.500 0.500 1
Bi1 Bi 0.000 0.000 0.000 1
# **E**: -2.479 eV per atom
# **Total moment**: 0.825 μB per formula unit
# **Polymorph energy (0 for the lowest one)**: 1037 meV/atom
# **V**: 203.77 Å³ per cell
# **Energy of formation from the pure elements**: 1.097 eV per atom

=====

2.
# In3NiBi (PBE, optimized geometry)
data_In3NiBi
_space_group_name_H-M_alt 'P m -3 m'
_space_group_IT_number 221
_space_group_name_Hall '-P 4 2 3'
_cell_length_a 5.051
_cell_length_b 5.051
_cell_length_c 5.051
_cell_angle_alpha 90.00
_cell_angle_beta 90.00
_cell_angle_gamma 90.00
loop_
_atom_site_label
_atom_site_type_symbol
_atom_site_fract_x
_atom_site_fract_y
_atom_site_fract_z
_atom_site_occupancy
In1 In 0.000 0.000 0.500 1
Ni1 Ni 0.000 0.000 0.000 1
Bi1 Bi 0.500 0.500 0.500 1
# **E**: -3.516 eV per atom
# **Total moment**: 0.000 μB per formula unit
# **Polymorph energy (0 for the lowest one)**: 0 meV/atom
# **V**: 128.88 Å³ per cell
# **Energy of formation from the pure elements**: 0.059 eV per atom

=====

3.
# In2Ni2Bi (PBE, optimized geometry)
data_In2Ni2Bi
_space_group_name_H-M_alt 'I 4/m m m'
_space_group_IT_number 139
_space_group_name_Hall '-I 4 2'
_cell_length_a 4.167
_cell_length_b 4.167
_cell_length_c 11.999
_cell_angle_alpha 90.00
_cell_angle_beta 90.00
_cell_angle_gamma 90.00
loop_
_atom_site_label
_atom_site_type_symbol
_atom_site_fract_x
_atom_site_fract_y
_atom_site_fract_z
_atom_site_occupancy
In1 In 0.000 0.000 0.124 1
Ni1 Ni 0.000 0.500 0.250 1
Bi1 Bi 0.000 0.000 0.500 1
# **E**: -3.949 eV per atom
# **Total moment**: 0.000 μB per formula unit
# **Polymorph energy (0 for the lowest one)**: 165 meV/atom
# **V**: 208.33 Å³ per cell
# **Energy of formation from the pure elements**: 0.235 eV per atom